No. 1
Here is a geometry-optimized Tb2Ni4As3Rh structure from Alexandria. Energies are from PBE.

Cell: 3.9896 3.9896 10.0822 Å, 90.00 90.00 90.00°
Positions (direct):
Tb (0.0000, 0.5000, 0.7509)
Tb (0.5000, 0.0000, 0.2491)
Ni (0.0000, 0.5000, 0.3566)
Ni (0.5000, 0.0000, 0.6434)
Ni (0.0000, 0.0000, 0.0000)
Ni (0.5000, 0.5000, 0.0000)
As (0.0000, 0.0000, 0.5000)
As (0.0000, 0.5000, 0.1296)
As (0.5000, 0.0000, 0.8704)
Rh (0.5000, 0.5000, 0.5000)

## Properties
Space-group type   P-4m2 (115)
Calculated formation energy   -0.72 eV per atom
Crystal system   tetragonal

=====

No. 2
Here is a geometry-optimized TbNiAs2Rh5 structure from Alexandria. Energies are from PBE.

Cell: 3.9201 3.9201 10.8484 Å, 90.00 90.00 90.00°
Positions (direct):
Rh (0.0000, 0.0000, 0.5000)
Rh (0.0000, 0.5000, 0.8577)
Rh (0.0000, 0.5000, 0.1423)
Rh (0.5000, 0.0000, 0.1423)
Rh (0.5000, 0.0000, 0.8577)
Ni (0.0000, 0.0000, 0.0000)
Tb (0.5000, 0.5000, 0.5000)
As (0.0000, 0.0000, 0.2796)
As (0.0000, 0.0000, 0.7204)

## Properties
Space-group type   P4/mmm (123)
Calculated formation energy   -0.15 eV per atom
Crystal system   tetragonal

=====

Ordered N(E_F) results: 0.862, 1.034; unit states/eV per atom.